Entry 1:
# DyAgPd6, optimized geometry, DFT PBE
# * E above lowest polymorph: 0.00 eV per formula unit
# * formation enthalpy at 0 K: -429 meV/atom
# * uncorrected energy: -42.04 eV per cell
data_DyAgPd6
_space_group_name_H-M_alt 'P 4/m m m'
_space_group_IT_number 123
_space_group_name_Hall '-P 4 2'
_cell_length_a 5.7309
_cell_length_b 5.7309
_cell_length_c 4.0844
_cell_angle_alpha 90.00
_cell_angle_beta 90.00
_cell_angle_gamma 90.00
loop_
_atom_site_label
_atom_site_type_symbol
_atom_site_fract_x
_atom_site_fract_y
_atom_site_fract_z
Dy1 Dy 0.0000 0.0000 0.0000
Ag1 Ag 0.5000 0.5000 0.0000
Pd1 Pd 0.0000 0.5000 0.0000
Pd2 Pd 0.2541 0.2541 0.5000

=====

Entry 2:
# SmTh2Te2As2, optimized geometry, DFT PBE
# * raw formation energy: -865 meV/atom
# * uncorrected energy: -82.39 eV per cell
data_SmTh2Te2As2
_space_group_name_H-M_alt 'I 4/m m m'
_space_group_IT_number 139
_space_group_name_Hall '-I 4 2'
_cell_length_a 5.3587
_cell_length_b 5.3587
_cell_length_c 15.8734
_cell_angle_alpha 90.00
_cell_angle_beta 90.00
_cell_angle_gamma 90.00
loop_
_atom_site_label
_atom_site_type_symbol
_atom_site_fract_x
_atom_site_fract_y
_atom_site_fract_z
Sm1 Sm 0.0000 0.0000 0.0000
Th1 Th 0.0000 0.0000 0.3913
Te1 Te 0.0000 0.0000 0.1930
As1 As 0.0000 0.5000 0.0000

=====

Number 1: D(E_F) 10.97 states/eV/cell. Number 2: D(E_F) 6.24 states/eV/cell.